1.
TmAl3Ag3, relaxed, DFT PBE-GGA; size of the total moment = 0.000 μB per atom; VASP energy = -43.4 eV for the cell shown; crystal system = cubic
1.0
6.968 0.000 0.000
0.000 6.968 0.000
0.000 0.000 6.968
Tm Al Ag
2 6 6
Direct
0.000 0.000 0.000 Tm
0.500 0.500 0.500 Tm
0.000 0.250 0.500 Al
0.000 0.750 0.500 Al
0.250 0.500 0.000 Al
0.500 0.000 0.250 Al
0.500 0.000 0.750 Al
0.750 0.500 0.000 Al
0.000 0.500 0.250 Ag
0.000 0.500 0.750 Ag
0.250 0.000 0.500 Ag
0.500 0.250 0.000 Ag
0.500 0.750 0.000 Ag
0.750 0.000 0.500 Ag

---

2.
Tm2Al5Ag5, relaxed, DFT PBE-GGA; size of the total moment = 0.000 μB per atom; VASP energy = -45.3 eV for the cell shown; crystal system = orthorhombic
1.0
4.444 0.000 0.000
0.000 5.410 0.000
0.000 0.000 9.470
Tm Al Ag
2 5 5
Direct
0.000 0.000 0.000 Tm
0.000 0.500 0.500 Tm
0.500 0.000 0.500 Al
0.500 0.248 0.244 Al
0.500 0.248 0.756 Al
0.500 0.752 0.244 Al
0.500 0.752 0.756 Al
0.000 0.000 0.336 Ag
0.000 0.000 0.664 Ag
0.000 0.500 0.181 Ag
0.000 0.500 0.819 Ag
0.500 0.500 0.000 Ag

---

3.
TmAl4Ag2, relaxed, DFT PBE-GGA; size of the total moment = 0.000 μB per atom; VASP energy = -26.3 eV for the cell shown; crystal system = monoclinic
1.0
4.649 -3.271 0.000
4.649 3.271 0.000
-2.696 0.000 4.367
Tm Al Ag
1 4 2
Direct
0.000 0.000 0.000 Tm
0.018 0.609 0.293 Al
0.391 0.982 0.707 Al
0.609 0.018 0.293 Al
0.982 0.391 0.707 Al
0.441 0.441 0.697 Ag
0.559 0.559 0.303 Ag

---

4.
Tm2Al9Ag, relaxed, DFT PBE-GGA; size of the total moment = 0.000 μB per atom; VASP energy = -48.3 eV for the cell shown; crystal system = tetragonal
1.0
4.197 0.000 0.000
0.000 4.197 0.000
0.000 0.000 12.447
Tm Al Ag
2 9 1
Direct
0.000 0.000 0.171 Tm
0.000 0.000 0.829 Tm
0.000 0.500 0.000 Al
0.000 0.500 0.345 Al
0.000 0.500 0.655 Al
0.500 0.000 0.000 Al
0.500 0.000 0.345 Al
0.500 0.000 0.655 Al
0.500 0.500 0.169 Al
0.500 0.500 0.500 Al
0.500 0.500 0.831 Al
0.000 0.000 0.500 Ag

---

5.
TmAl2Ag, relaxed, DFT PBE-GGA; size of the total moment = 0.000 μB per atom; VASP energy = -16.0 eV for the cell shown; crystal system = tetragonal
1.0
4.274 0.000 0.000
0.000 4.274 0.000
0.000 0.000 4.278
Tm Al Ag
1 2 1
Direct
0.000 0.000 0.000 Tm
0.000 0.500 0.500 Al
0.500 0.000 0.500 Al
0.500 0.500 0.000 Ag

---

6.
TmAlAg4, relaxed, DFT PBE-GGA; size of the total moment = 0.000 μB per atom; VASP energy = -20.3 eV for the cell shown; crystal system = monoclinic
1.0
3.512 0.000 0.000
0.000 3.523 0.000
-0.143 0.000 9.325
Tm Al Ag
1 1 4
Direct
0.000 0.000 0.000 Tm
0.500 0.500 0.500 Al
0.011 0.000 0.348 Ag
0.494 0.500 0.813 Ag
0.506 0.500 0.187 Ag
0.989 0.000 0.652 Ag